VASP calculation (GGA-PBE) on P2AuS after structural relaxation.

Cell: 7.056 7.056 7.056 Å, 135.40 135.40 64.90°
Atoms (fractional coordinates):
1 P 0.121 0.625 0.996
2 P 0.375 0.371 0.496
3 P 0.629 0.125 0.004
4 P 0.875 0.879 0.504
5 Au 0.250 0.750 0.500
6 Au 0.500 0.500 0.000
7 S 0.000 0.000 0.000
8 S 0.750 0.250 0.500

Results
VASP energy = -4.150 eV/atom
spin magnetization = 0.00 Bohr magnetons per cell
uncorrected formation energy = 0.406 eV/atom
DOS(E_F) = 2.54 states/eV/cell